The following is a PBE calculation of a relaxed Ti2HgPt crystal, from Alexandria via LeMat-Bulk.

Space-group type: P4/mmm (123)
Energy relative to the elements: -0.37 eV/atom
Magnetic moment: 1.37 μB per formula unit

```
data_Ti2HgPt
_chemical_formula_sum 'Ti2 Hg1 Pt1'
_cell_length_a 3.876
_cell_length_b 4.217
_cell_length_c 4.217
_cell_angle_alpha 90.00
_cell_angle_beta 90.00
_cell_angle_gamma 90.00
_symmetry_space_group_name_H-M 'P 1'
_symmetry_Int_Tables_number 1
loop_
_symmetry_equiv_pos_as_xyz
'x,y,z'
loop_
_atom_site_label
_atom_site_type_symbol
_atom_site_fract_x
_atom_site_fract_y
_atom_site_fract_z
Hg1 Hg 0.500 0.000 0.000
Ti1 Ti 0.000 0.500 0.000
Ti2 Ti 0.000 0.000 0.500
Pt1 Pt 0.500 0.500 0.500
```

---

The following is a PBE calculation of a relaxed IrS2Cl5 crystal, from Alexandria via LeMat-Bulk.

Space-group type: P1 (1)
Formation energy (no corrections): -0.17 eV per atom
Magnetic moment: 0.00 μB per formula unit

```
data_IrS2Cl5
_chemical_formula_sum 'Ir1 S2 Cl5'
_cell_length_a 4.683
_cell_length_b 8.086
_cell_length_c 8.748
_cell_angle_alpha 63.95
_cell_angle_beta 65.53
_cell_angle_gamma 83.01
_symmetry_space_group_name_H-M 'P 1'
_symmetry_Int_Tables_number 1
loop_
_symmetry_equiv_pos_as_xyz
'x,y,z'
loop_
_atom_site_label
_atom_site_type_symbol
_atom_site_fract_x
_atom_site_fract_y
_atom_site_fract_z
S1 S 0.046 0.604 0.388
S2 S 0.893 0.388 0.604
Cl1 Cl 0.735 0.906 0.320
Cl2 Cl 0.978 0.682 0.070
Cl3 Cl 0.199 0.074 0.678
Cl4 Cl 0.432 0.033 0.034
Cl5 Cl 0.971 0.317 0.910
Ir1 Ir 0.970 0.995 0.995
```

---

The following is a PBE calculation of a relaxed Ce3USe6 crystal, from Alexandria via LeMat-Bulk.

Energy above the lowest structure with this stoichiometry: 0 meV per atom
Space-group type: R-3 (148)
Formation energy (no corrections): -1.59 eV per atom
Magnetic moment: 6.03 μB per formula unit

```
data_Ce3USe6
_chemical_formula_sum 'Ce6 U2 Se12'
_cell_length_a 8.521
_cell_length_b 8.521
_cell_length_c 8.521
_cell_angle_alpha 99.28
_cell_angle_beta 99.28
_cell_angle_gamma 99.28
_symmetry_space_group_name_H-M 'P 1'
_symmetry_Int_Tables_number 1
loop_
_symmetry_equiv_pos_as_xyz
'x,y,z'
loop_
_atom_site_label
_atom_site_type_symbol
_atom_site_fract_x
_atom_site_fract_y
_atom_site_fract_z
Se1 Se 0.323 0.065 0.959
Se2 Se 0.041 0.677 0.935
Se3 Se 0.959 0.323 0.065
Se4 Se 0.574 0.431 0.818
Se5 Se 0.065 0.959 0.323
Se6 Se 0.182 0.426 0.569
Se7 Se 0.426 0.569 0.182
Se8 Se 0.569 0.182 0.426
Se9 Se 0.818 0.574 0.431
Se10 Se 0.431 0.818 0.574
Se11 Se 0.677 0.935 0.041
Se12 Se 0.935 0.041 0.677
Ce1 Ce 0.372 0.705 0.879
Ce2 Ce 0.121 0.628 0.295
Ce3 Ce 0.628 0.295 0.121
Ce4 Ce 0.879 0.372 0.705
Ce5 Ce 0.295 0.121 0.628
Ce6 Ce 0.705 0.879 0.372
U1 U 0.500 0.500 0.500
U2 U 0.000 0.000 0.000
```

---

The following is a PBE calculation of a relaxed La2Cd5Ag4 crystal, from Alexandria via LeMat-Bulk.

Space-group type: Immm (71)
Energy relative to the elements: -0.23 eV/atom
Magnetic moment: 0.00 μB per formula unit

```
data_La2Cd5Ag4
_chemical_formula_sum 'La2 Cd5 Ag4'
_cell_length_a 5.818
_cell_length_b 7.318
_cell_length_c 7.317
_cell_angle_alpha 77.25
_cell_angle_beta 66.57
_cell_angle_gamma 66.58
_symmetry_space_group_name_H-M 'P 1'
_symmetry_Int_Tables_number 1
loop_
_symmetry_equiv_pos_as_xyz
'x,y,z'
loop_
_atom_site_label
_atom_site_type_symbol
_atom_site_fract_x
_atom_site_fract_y
_atom_site_fract_z
Cd1 Cd 0.750 0.810 0.190
Cd2 Cd 0.250 0.190 0.810
Cd3 Cd 0.250 0.810 0.190
Cd4 Cd 0.750 0.190 0.810
Cd5 Cd 0.000 0.500 0.500
Ag1 Ag 0.246 0.091 0.418
Ag2 Ag 0.754 0.909 0.582
Ag3 Ag 0.754 0.582 0.909
Ag4 Ag 0.246 0.418 0.091
La1 La 0.718 0.282 0.282
La2 La 0.282 0.718 0.718
```

---

The following is a PBE calculation of a relaxed Cs2AlReCl6 crystal, from Alexandria via LeMat-Bulk.

Space-group type: I4/mmm (139)
Formation energy (no corrections): -1.04 eV per atom
Magnetic moment: 2.00 μB per formula unit

```
data_Cs2AlReCl6
_chemical_formula_sum 'Cs2 Al1 Re1 Cl6'
_cell_length_a 7.502
_cell_length_b 7.502
_cell_length_c 7.499
_cell_angle_alpha 59.99
_cell_angle_beta 59.99
_cell_angle_gamma 90.00
_symmetry_space_group_name_H-M 'P 1'
_symmetry_Int_Tables_number 1
loop_
_symmetry_equiv_pos_as_xyz
'x,y,z'
loop_
_atom_site_label
_atom_site_type_symbol
_atom_site_fract_x
_atom_site_fract_y
_atom_site_fract_z
Cl1 Cl 0.771 0.229 0.000
Cl2 Cl 0.229 0.229 0.000
Cl3 Cl 0.229 0.771 0.000
Cl4 Cl 0.229 0.229 0.542
Cl5 Cl 0.771 0.771 0.458
Cl6 Cl 0.771 0.771 0.000
Al1 Al 0.500 0.500 0.000
Cs1 Cs 0.750 0.250 0.500
Cs2 Cs 0.250 0.750 0.500
Re1 Re 0.000 0.000 0.000
```

---

The following is a PBE calculation of a relaxed YSc2Mn crystal, from Alexandria via LeMat-Bulk.

Energy above the lowest structure with this stoichiometry: 61 meV per atom
Space-group type: Imm2 (44)
Energy relative to the elements: 0.15 eV/atom
Magnetic moment: 2.04 μB per formula unit

```
data_YSc2Mn
_chemical_formula_sum 'Y1 Sc2 Mn1'
_cell_length_a 5.877
_cell_length_b 5.877
_cell_length_c 5.012
_cell_angle_alpha 64.76
_cell_angle_beta 64.76
_cell_angle_gamma 36.25
_symmetry_space_group_name_H-M 'P 1'
_symmetry_Int_Tables_number 1
loop_
_symmetry_equiv_pos_as_xyz
'x,y,z'
loop_
_atom_site_label
_atom_site_type_symbol
_atom_site_fract_x
_atom_site_fract_y
_atom_site_fract_z
Sc1 Sc 0.747 0.747 0.753
Sc2 Sc 0.956 0.956 0.044
Y1 Y 0.536 0.536 0.464
Mn1 Mn 0.260 0.260 0.239
```

---

The following is a PBE calculation of a relaxed TaIn2Tc crystal, from Alexandria via LeMat-Bulk.

Energy above the lowest structure with this stoichiometry: 264 meV per atom
Space-group type: P2/m (10)
Energy relative to the elements: 0.34 eV/atom
Magnetic moment: 0.59 μB per formula unit

```
data_TaIn2Tc
_chemical_formula_sum 'Ta1 In2 Tc1'
_cell_length_a 4.662
_cell_length_b 2.988
_cell_length_c 5.505
_cell_angle_alpha 79.33
_cell_angle_beta 90.00
_cell_angle_gamma 90.00
_symmetry_space_group_name_H-M 'P 1'
_symmetry_Int_Tables_number 1
loop_
_symmetry_equiv_pos_as_xyz
'x,y,z'
loop_
_atom_site_label
_atom_site_type_symbol
_atom_site_fract_x
_atom_site_fract_y
_atom_site_fract_z
In1 In 0.000 0.942 0.993
In2 In 0.000 0.558 0.507
Tc1 Tc 0.500 0.750 0.750
Ta1 Ta 0.500 0.250 0.250
```

---

The following is a PBE calculation of a relaxed Ag2TeI crystal, from Alexandria via LeMat-Bulk.

Energy above the lowest structure with this stoichiometry: 28 meV per atom
Space-group type: P1 (1)
Formation energy (no corrections): -0.10 eV per atom
Magnetic moment: 0.00 μB per formula unit

```
data_Ag2TeI
_chemical_formula_sum 'Ag4 Te2 I2'
_cell_length_a 4.785
_cell_length_b 5.867
_cell_length_c 9.322
_cell_angle_alpha 94.48
_cell_angle_beta 101.88
_cell_angle_gamma 89.44
_symmetry_space_group_name_H-M 'P 1'
_symmetry_Int_Tables_number 1
loop_
_symmetry_equiv_pos_as_xyz
'x,y,z'
loop_
_atom_site_label
_atom_site_type_symbol
_atom_site_fract_x
_atom_site_fract_y
_atom_site_fract_z
I1 I 0.110 0.992 0.852
I2 I 0.538 0.490 0.619
Ag1 Ag 0.429 0.939 0.142
Ag2 Ag 0.022 0.222 0.576
Ag3 Ag 0.691 0.632 0.918
Ag4 Ag 0.245 0.414 0.051
Te1 Te 0.808 0.512 0.210
Te2 Te 0.980 0.024 0.292
```